[1]
A geometry-optimized In3P structure. Source: Alexandria via LeMat-Bulk, functional GGA-PBE.

Lattice parameters (Å, degrees): 7.5276 8.4706 6.4676 90.00 90.00 90.00
Closest atoms and distances in Å follow each position.
Fractional positions:
In  0.0662  0.2500  0.2374  1 P 2.62
In  0.1883  0.0463  0.8412  2 P 2.72-2.77
In  0.1883  0.4537  0.8412  2 P 2.72-2.77
In  0.3117  0.5463  0.3412  2 P 2.72-2.77
In  0.3117  0.9537  0.3412  2 P 2.72-2.77
In  0.4338  0.7500  0.7374  1 P 2.62
In  0.5662  0.2500  0.2626  1 P 2.62
In  0.6883  0.0463  0.6588  2 P 2.72-2.77
In  0.6883  0.4537  0.6588  2 P 2.72-2.77
In  0.8117  0.5463  0.1588  2 P 2.72-2.77
In  0.8117  0.9537  0.1588  2 P 2.72-2.77
In  0.9338  0.7500  0.7626  1 P 2.62
P  0.0242  0.7500  0.3708  5 In 2.62-2.77
P  0.4758  0.2500  0.8708  5 In 2.62-2.77
P  0.5242  0.7500  0.1292  5 In 2.62-2.77
P  0.9758  0.2500  0.6292  5 In 2.62-2.77



[2]
A geometry-optimized InP3 structure. Source: Alexandria via LeMat-Bulk, functional GGA-PBE.

Lattice parameters (Å, degrees): 7.2691 7.2691 3.4144 90.00 90.00 117.97
Closest atoms and distances in Å follow each position.
Fractional positions:
In  0.1246  0.8754  0.7500  6 P 2.91-3.19
In  0.8754  0.1246  0.2500  6 P 2.91-3.19
P  0.2780  0.4200  0.7500  5 P 2.26-2.50
P  0.3135  0.6865  0.2500  4 P 2.50
P  0.4200  0.2780  0.2500  5 P 2.26-2.50
P  0.5800  0.7220  0.7500  5 P 2.26-2.50
P  0.6865  0.3135  0.7500  4 P 2.50
P  0.7220  0.5800  0.2500  5 P 2.26-2.50



[3]
A geometry-optimized InP2 structure. Source: Alexandria via LeMat-Bulk, functional GGA-PBE.

Lattice parameters (Å, degrees): 9.4032 9.4032 4.6012 90.00 90.00 160.22
Closest atoms and distances in Å follow each position.
Fractional positions:
In  0.1875  0.8125  0.7500  2 P 2.85
In  0.8125  0.1875  0.2500  2 P 2.85
P  0.0970  0.9030  0.2500  2 P 2.19
P  0.4832  0.5168  0.7500  4 P 2.19-2.38
P  0.5168  0.4832  0.2500  4 P 2.19-2.38
P  0.9030  0.0970  0.7500  2 P 2.19



[4]
A geometry-optimized InP3 structure. Source: Alexandria via LeMat-Bulk, functional GGA-PBE.

Lattice parameters (Å, degrees): 5.1234 5.1234 5.1234 90.00 90.00 90.00
Closest atoms and distances in Å follow each position.
Fractional positions:
In  0.0000  0.0000  0.0000  6 P 2.56
P  0.0000  0.0000  0.5000  2 In 2.56
P  0.0000  0.5000  0.0000  2 In 2.56
P  0.5000  0.0000  0.0000  2 In 2.56



Which spin magnetization belongs to each record? In order, 0.0 0.0 0.0 0.0 μB per formula unit.
Which ΔH_f (0 K) belongs to each record? In order, 0.12 1.24 0.09 6.39 eV per formula unit.
Which calculated volume belongs to each record? In order, 103.1 79.7 68.8 134.5 Å³/f.u..